1.
The following is a DFT calculation (PBE) of GaCu3Pt6 after structural relaxation.

Results
formation energy from the elements: -0.25 eV per atom
SG: No. 11
energy above the lowest structure with this stoichiometry: 0.0 meV/atom
M_tot: 0.0 μB per formula unit

Cell lengths 3.9639, 8.3827, 8.7847 Å; angles 94.36, 90.00, 90.00 degrees
Sites, in units of the cell vectors:
Ga1 0.2500 0.9336 0.6111
Ga2 0.7500 0.0664 0.3889
Cu1 0.2500 0.5543 0.3968
Cu2 0.7500 0.4457 0.6032
Cu3 0.2500 0.3437 0.8035
Cu4 0.7500 0.6563 0.1965
Cu5 0.2500 0.7482 0.0031
Cu6 0.7500 0.2518 0.9969
Pt1 0.2500 0.4573 0.0985
Pt2 0.7500 0.5427 0.9015
Pt3 0.2500 0.1602 0.1975
Pt4 0.7500 0.8398 0.8025
Pt5 0.2500 0.6327 0.6972
Pt6 0.7500 0.3673 0.3028
Pt7 0.2500 0.2583 0.5043
Pt8 0.7500 0.7417 0.4957
Pt9 0.2500 0.8589 0.3108
Pt10 0.7500 0.1411 0.6892
Pt11 0.2500 0.0510 0.8985
Pt12 0.7500 0.9490 0.1015


2.
The following is a DFT calculation (PBE) of Ga2CuPt after structural relaxation.

Results
formation energy from the elements: -0.28 eV per atom
SG: No. 123
energy above the lowest structure with this stoichiometry: 66.3 meV/atom
M_tot: 0.0 μB per formula unit

Cell lengths 3.6098, 4.0325, 4.0325 Å; angles 90.00, 90.00, 90.00 degrees
Sites, in units of the cell vectors:
Cu1 0.5000 0.5000 0.5000
Ga1 0.0000 0.0000 0.5000
Ga2 0.0000 0.5000 0.0000
Pt1 0.5000 0.0000 0.0000


3.
The following is a DFT calculation (PBE) of Ga8CuPt6 after structural relaxation.

Results
formation energy from the elements: -0.57 eV per atom
SG: No. 148
M_tot: 0.0 μB per formula unit

Cell lengths 6.8117, 6.8117, 6.8117 Å; angles 65.68, 65.68, 65.68 degrees
Sites, in units of the cell vectors:
Ga1 0.2047 0.5655 0.8782
Ga2 0.1218 0.7953 0.4345
Ga3 0.4345 0.1218 0.7953
Ga4 0.6658 0.6658 0.6658
Ga5 0.3342 0.3342 0.3342
Ga6 0.5655 0.8782 0.2047
Ga7 0.8782 0.2047 0.5655
Ga8 0.7953 0.4345 0.1218
Cu1 0.0000 0.0000 0.0000
Pt1 0.0547 0.3966 0.7205
Pt2 0.2795 0.9453 0.6034
Pt3 0.6034 0.2795 0.9453
Pt4 0.3966 0.7205 0.0547
Pt5 0.7205 0.0547 0.3966
Pt6 0.9453 0.6034 0.2795